A plane-wave DFT calculation with PBEsol was carried out for a geometry-optimized LaPr3Al4O12 structure.

Computed properties:
magnetic moment	0.00	μB per atom
calculated total energy	-167.09	eV/cell
D(E_F)	0.0	states/eV per cell
space-group type	R32 (155)
formation energy from raw total energies	-3.3415	eV per atom

abc: 5.343 5.343 9.169
angles: 73.06 73.06 60.00
Sites, in units of the cell vectors:
La 0.500 0.500 0.500
Pr 0.750 0.750 0.751
Pr 0.250 0.250 0.249
Pr 0.000 0.000 0.000
Al 0.875 0.875 0.375
Al 0.375 0.375 0.875
Al 0.625 0.625 0.125
Al 0.125 0.125 0.625
O 0.706 0.796 0.249
O 0.204 0.294 0.751
O 0.796 0.249 0.249
O 0.294 0.751 0.751
O 0.249 0.706 0.249
O 0.751 0.204 0.751
O 0.959 0.500 0.500
O 0.455 0.000 0.000
O 0.500 0.041 0.500
O 0.000 0.545 0.000
O 0.041 0.959 0.500
O 0.545 0.455 0.000